1.
Tl2CdIr (PBE-GGA, relaxed); DFT formation energy = 0.371 eV/atom; space group = P4/mmm, No. 123; energy relative to the lowest polymorph listed for this composition = 0.184 eV/atom
1.0
3.187 0.000 0.000
0.000 3.187 0.000
0.000 0.000 9.141
Tl Cd Ir
2 1 1
Cartesian
0.000 0.000 1.870
0.000 0.000 7.271
1.594 1.594 4.570
1.594 1.594 0.000



2.
TlCdIr2 (PBE-GGA, relaxed); DFT formation energy = 0.443 eV/atom; space group = R3m, No. 160
1.0
1.493 0.862 9.655
-1.493 0.862 9.655
0.000 -1.724 9.655
Tl Cd Ir
1 1 2
Cartesian
0.000 0.000 0.000
0.000 0.000 22.212
0.000 0.000 7.224
0.000 0.000 14.857



3.
TlCdIr2 (PBE-GGA, relaxed); DFT formation energy = 0.607 eV/atom; space group = F-43m, No. 216
1.0
0.000 3.298 3.298
3.298 0.000 3.298
3.298 3.298 0.000
Tl Cd Ir
1 1 2
Cartesian
0.000 0.000 0.000
1.649 1.649 1.649
3.298 3.298 3.298
4.947 4.947 4.947



4.
Tl2CdIr (PBE-GGA, relaxed); DFT formation energy = 0.474 eV/atom; space group = P2/m, No. 10; energy relative to the lowest polymorph listed for this composition = 0.288 eV/atom
1.0
3.280 0.000 0.000
0.000 5.047 0.000
-0.082 0.000 5.324
Tl Cd Ir
2 1 1
Cartesian
0.704 0.000 1.371
2.494 0.000 3.952
1.640 2.524 0.000
-0.041 2.524 2.662



5.
Tl2CdIr (PBE-GGA, relaxed); DFT formation energy = 0.407 eV/atom; space group = R-3m, No. 166; energy relative to the lowest polymorph listed for this composition = 0.220 eV/atom
1.0
1.576 0.910 11.249
-1.576 0.910 11.249
0.000 -1.819 11.249
Tl Cd Ir
2 1 1
Cartesian
0.000 0.000 7.879
0.000 0.000 25.868
0.000 0.000 0.000
0.000 0.000 16.873



6.
TlCdIr2 (PBE-GGA, relaxed); DFT formation energy = 0.350 eV/atom; space group = P4mm, No. 99
1.0
2.942 0.000 0.000
0.000 2.942 0.000
0.000 0.000 8.905
Tl Cd Ir
1 1 2
Cartesian
0.000 0.000 0.000
1.471 1.471 2.914
0.000 0.000 4.921
1.471 1.471 6.600



7.
Tl2CdIr (PBE-GGA, relaxed); DFT formation energy = 0.187 eV/atom; space group = Immm, No. 71; energy relative to the lowest polymorph listed for this composition = 0.000 eV/atom
1.0
-1.562 2.311 6.965
1.562 -2.311 6.965
1.562 2.311 -6.965
Tl Cd Ir
2 1 1
Cartesian
0.000 0.000 2.441
0.000 0.000 11.490
0.000 2.311 0.000
1.562 0.000 0.000



8.
TlCd2Ir (PBE-GGA, relaxed); DFT formation energy = 0.315 eV/atom; space group = Cmmm, No. 65; energy relative to the lowest polymorph listed for this composition = 0.166 eV/atom
1.0
2.890 -4.261 0.000
2.890 4.261 0.000
0.000 0.000 3.248
Tl Cd Ir
1 2 1
Cartesian
0.000 0.000 0.000
1.445 2.130 1.624
1.445 -2.130 1.624
2.890 0.000 0.000



9.
TlCdIr (PBE-GGA, relaxed); DFT formation energy = 0.400 eV/atom; space group = P3m1, No. 156; energy relative to the lowest polymorph listed for this composition = 0.118 eV/atom
1.0
4.695 0.000 0.000
-2.347 4.066 0.000
0.000 0.000 3.158
Tl Cd Ir
1 1 1
Cartesian
0.000 0.000 0.000
2.347 1.355 1.573
0.000 2.711 3.148



10.
TlCd4Ir (PBE-GGA, relaxed); DFT formation energy = 0.406 eV/atom; space group = F-43m, No. 216
1.0
0.000 3.996 3.996
3.996 0.000 3.996
3.996 3.996 0.000
Tl Cd Ir
1 4 1
Cartesian
0.000 0.000 0.000
4.988 3.004 3.004
3.004 4.988 3.004
3.004 3.004 4.988
4.988 4.988 4.988
1.998 1.998 1.998



11.
TlCdIr3 (PBE-GGA, relaxed); DFT formation energy = 2.058 eV/atom; space group = Pm-3m, No. 221; energy relative to the lowest polymorph listed for this composition = 0.000 eV/atom
1.0
4.895 0.000 0.000
0.000 4.895 0.000
0.000 0.000 4.895
Tl Cd Ir
1 1 3
Cartesian
0.000 0.000 0.000
2.447 2.447 2.447
0.000 2.447 2.447
2.447 0.000 2.447
2.447 2.447 0.000



12.
TlCdIr2 (PBE-GGA, relaxed); DFT formation energy = 0.325 eV/atom; space group = Pm, No. 6
1.0
2.886 0.000 0.000
0.000 3.639 0.000
-1.391 0.000 7.782
Tl Cd Ir
1 1 2
Cartesian
0.000 0.000 0.000
0.027 1.819 2.644
0.029 1.819 5.648
1.475 0.000 4.513



13.
Tl2CdIr (PBE-GGA, relaxed); DFT formation energy = 0.506 eV/atom; space group = Cmmm, No. 65; energy relative to the lowest polymorph listed for this composition = 0.319 eV/atom
1.0
3.680 -3.692 0.000
3.680 3.692 0.000
0.000 0.000 3.186
Tl Cd Ir
2 1 1
Cartesian
1.840 1.846 0.000
1.840 -1.846 0.000
0.000 0.000 1.593
3.680 0.000 1.593



14.
TlCd2Ir (PBE-GGA, relaxed); DFT formation energy = 0.148 eV/atom; space group = Imm2, No. 44; energy relative to the lowest polymorph listed for this composition = 0.000 eV/atom
1.0
-1.504 2.340 6.619
1.504 -2.340 6.619
1.504 2.340 -6.619
Tl Cd Ir
1 2 1
Cartesian
0.000 0.000 0.000
1.504 0.000 4.092
0.000 0.000 8.450
0.000 2.340 4.191



15.
TlCd2Ir (PBE-GGA, relaxed); DFT formation energy = 0.240 eV/atom; space group = Immm, No. 71; energy relative to the lowest polymorph listed for this composition = 0.091 eV/atom
1.0
-2.061 2.069 4.608
2.061 -2.069 4.608
2.061 2.069 -4.608
Tl Cd Ir
1 2 1
Cartesian
0.000 0.000 0.000
2.061 0.000 2.310
0.000 2.069 2.299
0.000 0.000 4.608



16.
Tm7CdIr4 (PBE-GGA, relaxed); DFT formation energy = -0.539 eV/atom; space group = C2/m, No. 12
1.0
6.765 -2.643 0.000
6.765 2.643 0.000
-5.688 0.000 7.868
Tm Cd Ir
7 1 4
Cartesian
0.000 0.000 0.000
-1.169 0.000 4.885
3.149 0.000 0.994
2.122 0.000 5.018
5.719 0.000 2.849
4.693 0.000 6.873
9.010 0.000 2.982
6.765 0.000 0.000
-3.523 0.000 6.140
0.805 0.000 2.683
7.037 0.000 5.184
11.364 0.000 1.728



17.
Tm6CdIr5 (PBE-GGA, relaxed); DFT formation energy = -0.810 eV/atom; space group = P2/m, No. 10
1.0
4.760 0.000 0.000
0.000 7.083 0.000
-2.350 0.000 7.151
Tm Cd Ir
6 1 5
Cartesian
0.000 1.674 0.000
0.000 5.409 0.000
0.020 1.745 4.694
0.020 5.338 4.694
2.391 1.745 2.457
2.391 5.338 2.457
2.380 3.541 0.000
0.006 3.541 2.317
0.010 0.000 2.396
2.380 0.000 0.000
2.400 0.000 4.754
2.405 3.541 4.833



18.
Tm8CdIr2 (PBE-GGA, relaxed); DFT formation energy = -0.424 eV/atom; space group = C2/m, No. 12
1.0
4.311 -6.500 0.000
4.311 6.500 0.000
-1.269 0.000 5.262
Tm Cd Ir
8 1 2
Cartesian
0.974 1.712 3.065
4.311 3.284 0.000
0.974 -1.712 3.065
3.045 0.000 1.047
4.309 0.000 4.216
6.379 1.712 2.197
4.311 -3.284 0.000
6.379 -1.712 2.197
0.000 0.000 0.000
3.677 2.445 2.631
3.677 -2.445 2.631



19.
Tm2CdIr (PBE-GGA, relaxed); DFT formation energy = -0.669 eV/atom; space group = P4/mmm, No. 123; energy relative to the lowest polymorph listed for this composition = 0.000 eV/atom
1.0
3.477 0.000 0.000
0.000 3.477 0.000
0.000 0.000 7.399
Tm Cd Ir
2 1 1
Cartesian
0.000 0.000 1.598
0.000 0.000 5.801
1.739 1.739 3.700
1.739 1.739 0.000



20.
Tm5Cd2Ir2 (PBE-GGA, relaxed); DFT formation energy = -0.600 eV/atom; space group = Cmce, No. 64
1.0
7.984 -3.726 0.000
7.984 3.726 0.000
0.000 0.000 7.516
Tm Cd Ir
10 4 4
Cartesian
0.000 0.000 0.000
6.105 2.455 5.033
6.105 1.271 1.275
9.863 2.455 5.033
9.863 1.271 1.275
7.984 0.000 3.758
6.105 -1.271 6.241
6.105 -2.455 2.483
9.863 -1.271 6.241
9.863 -2.455 2.483
3.466 0.000 0.000
4.518 0.000 3.758
11.449 0.000 3.758
12.502 0.000 0.000
7.984 2.733 2.746
7.984 0.993 6.504
7.984 -0.993 1.012
7.984 -2.733 4.770